# 1
Computed, not measured: crystalline PmIrAu at its relaxed geometry at the PBE level of DFT.

```
PmIrAu
1.0
2.3336 1.3473 3.8108
-2.3336 1.3473 3.8108
0.0000 -2.6946 3.8108
Ir Pm Au
1 1 1
direct
0.0000 0.0000 0.0000 Ir
0.2500 0.2500 0.2500 Pm
0.7500 0.7500 0.7500 Au
```

Calculated values
Excess energy over the best structure of this formula in the dataset: 0 meV/atom
Spin magnetization: 0.0031 μB per atom
Volume: 71.9 Å³/cell
SG: F-43m
Theoretical density: 12.34 g/cm³

=====

# 2
Computed, not measured: crystalline PrIrAu at its relaxed geometry at the PBE level of DFT.

```
PrIrAu
1.0
0.0000 3.3900 3.3900
3.3900 0.0000 3.3900
3.3900 3.3900 0.0000
Au Ir Pr
1 1 1
direct
0.2500 0.2500 0.2500 Au
0.7500 0.7500 0.7500 Ir
0.0000 0.0000 0.0000 Pr
```

Calculated values
Excess energy over the best structure of this formula in the dataset: 426 meV/atom
Spin magnetization: 0.0033 μB per atom
Volume: 77.9 Å³/cell
SG: F-43m
Theoretical density: 11.30 g/cm³

=====

# 3
Computed, not measured: crystalline PrIrAu at its relaxed geometry at the PBE level of DFT.

```
PrIrAu
1.0
2.3566 1.3606 3.8483
-2.3566 1.3606 3.8483
0.0000 -2.7212 3.8483
Pr Ir Au
1 1 1
direct
0.2500 0.2500 0.2500 Pr
0.0000 0.0000 0.0000 Ir
0.7500 0.7500 0.7500 Au
```

Calculated values
Excess energy over the best structure of this formula in the dataset: 0 meV/atom
Spin magnetization: 0.0148 μB per atom
Volume: 74.0 Å³/cell
SG: F-43m
Theoretical density: 11.89 g/cm³

=====

# 4
Computed, not measured: crystalline PrSi2IrAu at its relaxed geometry at the PBE level of DFT.

```
PrSi2IrAu
1.0
-3.7110 -4.3482 -1.5655
-5.5827 0.0998 1.9881
3.8169 3.7001 -2.6210
Ir Si Pr Au
1 2 1 1
direct
0.0000 0.0000 0.0000 Ir
0.6323 0.1323 0.5000 Si
0.8677 0.3677 0.5000 Si
0.2500 0.7500 0.5000 Pr
0.5000 0.5000 0.0000 Au
```

Calculated values
Excess energy over the best structure of this formula in the dataset: 157 meV/atom
Spin magnetization: 0.0012 μB per atom
Volume: 91.8 Å³/cell
SG: I-4m2
Theoretical density: 10.60 g/cm³

=====

# 5
Computed, not measured: crystalline PrSi2IrAu at its relaxed geometry at the PBE level of DFT.

```
PrSi2IrAu
1.0
-1.2297 0.9073 4.0419
-0.1342 -4.2228 0.9070
9.5959 0.3073 2.8505
Si Ir Pr Au
4 2 2 2
direct
0.0000 0.0000 0.5000 Si
0.5000 0.0000 0.1497 Si
0.5000 0.5000 0.5000 Si
0.0000 0.5000 0.8503 Si
0.0000 0.5000 0.6151 Ir
0.5000 0.0000 0.3849 Ir
0.0000 0.5000 0.2589 Pr
0.5000 0.0000 0.7411 Pr
0.5000 0.5000 0.0000 Au
0.0000 0.0000 0.0000 Au
```

Calculated values
Excess energy over the best structure of this formula in the dataset: 0 meV/atom
Spin magnetization: 0.0011 μB per atom
Volume: 187.0 Å³/cell
SG: P4/nmm
Theoretical density: 10.41 g/cm³

=====

# 6
Computed, not measured: crystalline IrPt2Au2 at its relaxed geometry at the PBE level of DFT.

```
IrPt2Au2
1.0
-2.2477 2.9447 0.4337
-2.5893 -1.6665 -2.1047
-0.0684 -3.2979 6.0002
Pt Au Ir
2 2 1
direct
0.5958 0.5958 0.1916 Pt
0.4042 0.4042 0.8084 Pt
0.2500 0.7500 0.5000 Au
0.7500 0.2500 0.5000 Au
0.0000 0.0000 0.0000 Ir
```

Calculated values
Electronic total energy: -4.763 eV per atom
Spin magnetization: 0.0149 μB per atom
Volume: 87.9 Å³/cell
SG: I4/mmm
Theoretical density: 18.44 g/cm³

=====

# 7
Computed, not measured: crystalline Rb2IrAu at its relaxed geometry at the PBE level of DFT.

```
Rb2IrAu
1.0
1.5151 2.3607 -1.2707
-1.5235 2.4443 1.0898
13.2912 0.6640 17.0861
Au Rb Ir
2 4 2
direct
0.9589 0.9589 0.2500 Au
0.0411 0.0411 0.7500 Au
0.5166 0.5166 0.8800 Rb
0.4833 0.4833 0.3799 Rb
0.4834 0.4834 0.1200 Rb
0.5166 0.5166 0.6201 Rb
0.0000 0.0000 0.0001 Ir
0.0000 0.0000 0.4999 Ir
```

Calculated values
Electronic total energy: -2.773 eV per atom
Spin magnetization: 0.1742 μB per atom
Volume: 200.4 Å³/cell
SG: Cmcm
Theoretical density: 9.28 g/cm³

=====

# 8
Computed, not measured: crystalline RbIrAu at its relaxed geometry at the PBE level of DFT.

```
RbIrAu
1.0
0.0000 3.4958 3.4958
3.4958 0.0000 3.4958
3.4958 3.4958 0.0000
Au Ir Rb
1 1 1
direct
0.2500 0.2500 0.2500 Au
0.7500 0.7500 0.7500 Ir
0.0000 0.0000 0.0000 Rb
```

Calculated values
Excess energy over the best structure of this formula in the dataset: 723 meV/atom
Spin magnetization: 0.2874 μB per atom
Volume: 85.4 Å³/cell
SG: F-43m
Theoretical density: 9.22 g/cm³

=====

# 9
Computed, not measured: crystalline RbIrAu at its relaxed geometry at the PBE level of DFT.

```
RbIrAu
1.0
0.0000 3.3970 3.3970
3.3970 0.0000 3.3970
3.3970 3.3970 0.0000
Ir Rb Au
1 1 1
direct
0.0000 0.0000 0.0000 Ir
0.7500 0.7500 0.7500 Rb
0.2500 0.2500 0.2500 Au
```

Calculated values
Excess energy over the best structure of this formula in the dataset: 0 meV/atom
Spin magnetization: 0.2985 μB per atom
Volume: 78.4 Å³/cell
SG: F-43m
Theoretical density: 10.05 g/cm³

=====

# 10
Computed, not measured: crystalline RbIrAuSeS2 at its relaxed geometry at the PBE level of DFT.

```
RbIrAuSeS2
1.0
8.1811 1.2565 -2.8300
-8.2112 2.2530 2.0043
2.8303 2.1766 9.1483
S Rb Au Ir Se
4 2 2 2 2
direct
0.5934 0.4066 0.9834 S
0.5934 0.4066 0.5166 S
0.4066 0.5934 0.0166 S
0.4066 0.5934 0.4834 S
0.2816 0.7184 0.7500 Rb
0.7184 0.2816 0.2500 Rb
0.6125 0.3875 0.7500 Au
0.3875 0.6125 0.2500 Au
0.0000 0.0000 0.5000 Ir
0.0000 0.0000 0.0000 Ir
0.0448 0.9552 0.2500 Se
0.9552 0.0448 0.7500 Se
```

Calculated values
Electronic total energy: -4.484 eV per atom
Spin magnetization: 0.0003 μB per atom
Volume: 303.1 Å³/cell
SG: Cmcm
Theoretical density: 6.77 g/cm³

=====

# 11
Computed, not measured: crystalline RbIrAuSe3 at its relaxed geometry at the PBE level of DFT.

```
RbIrAuSe3
1.0
0.3323 -0.5639 -8.6368
-2.4388 -2.9916 -7.7541
-6.7082 7.3877 -0.7404
Ir Au Rb Se
2 2 2 6
direct
0.5000 0.5000 0.5000 Ir
0.5000 0.5000 0.0000 Ir
0.1113 0.1113 0.7500 Au
0.8887 0.8887 0.2500 Au
0.7739 0.7739 0.7500 Rb
0.2261 0.2261 0.2500 Rb
0.0997 0.0997 0.5085 Se
0.4586 0.4586 0.7500 Se
0.9003 0.9003 0.4915 Se
0.0997 0.0997 0.9915 Se
0.9003 0.9003 0.0085 Se
0.5414 0.5414 0.2500 Se
```

Calculated values
Electronic total energy: -4.234 eV per atom
Spin magnetization: 0.0009 μB per atom
Volume: 320.4 Å³/cell
SG: Cmcm
Theoretical density: 7.38 g/cm³

=====

# 12
Computed, not measured: crystalline RbIrAu3Se4 at its relaxed geometry at the PBE level of DFT.

```
RbIrAu3Se4
1.0
-4.6791 1.0940 -4.3154
-3.7576 -4.3279 2.9771
-2.3875 4.6675 3.7720
Au Se Ir Rb
3 4 1 1
direct
0.0000 0.0000 0.5000 Au
0.0000 0.5000 0.0000 Au
0.5000 0.0000 0.0000 Au
0.2135 0.7865 0.2135 Se
0.7865 0.2135 0.2135 Se
0.7865 0.7865 0.7865 Se
0.2135 0.2135 0.7865 Se
0.0000 0.0000 0.0000 Ir
0.5000 0.5000 0.5000 Rb
```

Calculated values
Electronic total energy: -3.730 eV per atom
Spin magnetization: 0.0001 μB per atom
Volume: 269.4 Å³/cell
SG: P-43m
Theoretical density: 7.30 g/cm³

=====

# 13
Computed, not measured: crystalline RbTeIrAuSe2 at its relaxed geometry at the PBE level of DFT.

```
RbTeIrAuSe2
1.0
6.3074 5.4159 -2.8528
-7.7851 -4.0624 -0.3773
-4.3831 7.9057 5.3178
Se Rb Ir Te Au
4 2 2 2 2
direct
0.4019 0.5981 0.4836 Se
0.5981 0.4019 0.5164 Se
0.5981 0.4019 0.9836 Se
0.4019 0.5981 0.0164 Se
0.2700 0.7300 0.7500 Rb
0.7300 0.2700 0.2500 Rb
0.0000 0.0000 0.5000 Ir
0.0000 0.0000 0.0000 Ir
0.9546 0.0454 0.7500 Te
0.0454 0.9546 0.2500 Te
0.6077 0.3923 0.7500 Au
0.3923 0.6077 0.2500 Au
```

Calculated values
Electronic total energy: -4.211 eV per atom
Spin magnetization: 0.0007 μB per atom
Volume: 342.1 Å³/cell
SG: Cmcm
Theoretical density: 7.38 g/cm³